DFT (PBE-GGA) results for Th2CdSe after structural relaxation.

Calculated values
Energy relative to the elements, uncorrected ... -665 meV/atom
Uncorrected energy ... -5.475 eV/atom

Cell lengths 4.0822, 4.0822, 24.3690 Å; angles 90.00, 90.00, 120.00 degrees
Space group R-3m (No. 166, hexagonal axes)
Asymmetric unit:
Th  0.0000  0.0000  0.2400 (multiplicity 6)
Cd  0.0000  0.0000  0.0000 (multiplicity 3)
Se  0.0000  0.0000  0.5000 (multiplicity 3)